(1)
The following is a GGA-PBE calculation of an optimized crystal structure of CeTl3Se4, from Alexandria.

Lattice parameters (Å, degrees): 9.027 12.734 4.280 90.00 90.00 90.00
Space group Cmmm (No. 65)
Unique sites:
1 Ce 0.000 0.000 0.000 x2
2 Tl 0.000 0.500 0.000 x2
3 Tl 0.250 0.250 0.500 x4
4 Se 0.000 0.228 0.000 x4
5 Se 0.215 0.000 0.500 x4

Values from the calculation:
Spin magnetization   0.01 μB/atom
Crystal system   orthorhombic
Polymorph energy (0 for the lowest one)   3 meV/atom
Formation energy from raw total energies   -0.83 eV per atom
Theoretical density   7.22 Mg/m³



(2)
The following is a GGA-PBE calculation of an optimized crystal structure of NpSn2Ge, from Alexandria.

Lattice parameters (Å, degrees): 3.1412 3.1412 35.3092 90.00 90.00 120.00
Space group R-3m (No. 166, hexagonal axes)
Unique sites:
1 Np 0.0000 0.0000 0.0000 x3
2 Sn 0.0000 0.0000 0.0918 x6
3 Ge 0.0000 0.0000 0.5000 x3

Values from the calculation:
Spin magnetization   1.05 μB/atom
Formation energy   0.44 eV per atom
Crystal system   trigonal
Polymorph energy (0 for the lowest one)   571 meV/atom
Theoretical density   9.03 Mg/m³



(3)
The following is a GGA-PBE calculation of an optimized crystal structure of RbCdGaBi2, from Alexandria.

Lattice parameters (Å, degrees): 4.991 4.991 13.743 90.00 90.00 90.00
Space group I-4m2 (No. 119)
Unique sites:
1 Rb 0.000 0.000 0.000 x2
2 Cd 0.000 0.500 0.750 x2
3 Ga 0.000 0.500 0.250 x2
4 Bi 0.000 0.000 0.373 x4

Values from the calculation:
Spin magnetization   0.00 μB/atom
Formation energy   -0.18 eV per atom
Crystal system   tetragonal
Theoretical density   6.65 Mg/m³



(4)
The following is a GGA-PBE calculation of an optimized crystal structure of Na3In3Hg2, from Alexandria.

Lattice parameters (Å, degrees): 5.015 11.163 15.588 90.00 90.00 90.00
Space group Cmcm (No. 63)
Unique sites:
1 Na 0.000 0.076 0.103 x8
2 Na 0.000 0.302 0.250 x4
3 In 0.000 0.389 0.054 x8
4 In 0.000 0.414 0.750 x4
5 Hg 0.000 0.225 0.613 x8

Values from the calculation:
Spin magnetization   0.00 μB/atom
Formation energy   -0.14 eV per atom
Crystal system   orthorhombic
Polymorph energy (0 for the lowest one)   0 meV/atom
Theoretical density   6.20 Mg/m³



(5)
The following is a GGA-PBE calculation of an optimized crystal structure of LaYZnCo, from Alexandria.

Lattice parameters (Å, degrees): 7.098 7.098 7.098 90.00 90.00 90.00
Space group F-43m (No. 216)
Unique sites:
1 La 0.000 0.000 0.000 x4
2 Y 0.000 0.000 0.500 x4
3 Zn 0.250 0.250 0.250 x4
4 Co 0.250 0.250 0.750 x4

Values from the calculation:
Spin magnetization   0.00 μB/atom
Formation energy   -0.15 eV per atom
Crystal system   cubic
Theoretical density   6.54 Mg/m³



(6)
The following is a GGA-PBE calculation of an optimized crystal structure of NpTaSb2, from Alexandria.

Lattice parameters (Å, degrees): 3.1262 3.1262 33.2007 90.00 90.00 120.00
Space group R-3m (No. 166, hexagonal axes)
Unique sites:
1 Np 0.0000 0.0000 0.0000 x3
2 Ta 0.0000 0.0000 0.5000 x3
3 Sb 0.0000 0.0000 0.4141 x6

Values from the calculation:
Spin magnetization   0.80 μB/atom
Crystal system   trigonal
Formation energy from raw total energies   0.43 eV per atom
Theoretical density   11.73 Mg/m³



(7)
The following is a GGA-PBE calculation of an optimized crystal structure of Y7PtSe5, from Alexandria.

Lattice parameters (Å, degrees): 3.983 13.424 24.395 90.00 90.00 90.00
Space group Cmc2_1 (No. 36)
Unique sites:
1 Y 0.000 0.042 0.000 x4
2 Y 0.000 0.138 0.712 x4
3 Y 0.000 0.139 0.288 x4
4 Y 0.000 0.298 0.069 x4
5 Y 0.000 0.298 0.931 x4
6 Y 0.000 0.411 0.366 x4
7 Y 0.000 0.411 0.634 x4
8 Pt 0.000 0.304 0.500 x4
9 Se 0.000 0.055 0.394 x4
10 Se 0.000 0.055 0.606 x4
11 Se 0.000 0.221 0.179 x4
12 Se 0.000 0.221 0.821 x4
13 Se 0.000 0.500 0.250 x4

Values from the calculation:
Spin magnetization   0.00 μB/atom
Crystal system   orthorhombic
Formation energy from raw total energies   -1.58 eV per atom
Theoretical density   6.17 Mg/m³



(8)
The following is a GGA-PBE calculation of an optimized crystal structure of Ba2GaIO6, from Alexandria.

Lattice parameters (Å, degrees): 5.9446 5.9446 29.9172 90.00 90.00 120.00
Space group R-3m (No. 166, hexagonal axes)
Unique sites:
1 Ba 0.0000 0.0000 0.1240 x6
2 Ba 0.0000 0.0000 0.2836 x6
3 Ga 0.0000 0.0000 0.4065 x6
4 I 0.0000 0.0000 0.0000 x3
5 I 0.0000 0.0000 0.5000 x3
6 O 0.0018 0.5009 0.7077 x18
7 O 0.0235 0.5118 0.1204 x18

Values from the calculation:
Spin magnetization   0.00 μB/atom
Crystal system   trigonal
Formation energy from raw total energies   -1.68 eV per atom
Theoretical density   6.17 Mg/m³



| no. | calculated volume (Å³/atom) |
| --- | --- |
| 1 | 30.75 |
| 2 | 25.14 |
| 3 | 34.23 |
| 4 | 27.27 |
| 5 | 22.35 |
| 6 | 23.42 |
| 7 | 25.08 |
| 8 | 15.26 |